No. 1
Computed, not measured: a geometry-optimized Ba3PmTc2N6 structure at the PBE level of DFT.

a b c (Å): 6.3227 6.3227 7.3779
angles (deg): 90.00 90.00 120.00
With the nearest neighbours (Å) after each atom.
Sites, in units of the cell vectors:
Ba1 0.0000 0.0000 0.0000  6 N 2.85
Ba2 0.3333 0.6667 0.7075  6 N 3.16, 1 Tc 3.46
Ba3 0.6667 0.3333 0.2925  6 N 3.16, 1 Tc 3.46
Pm1 0.0000 0.0000 0.5000  6 N 2.44
Tc1 0.3333 0.6667 0.2385  3 N 1.81
Tc2 0.6667 0.3333 0.7615  3 N 1.81
N1 0.1721 0.3442 0.2901  1 Tc 1.81
N2 0.1721 0.8279 0.2901  1 Tc 1.81
N3 0.3442 0.1721 0.7099  1 Tc 1.81
N4 0.6558 0.8279 0.2901  1 Tc 1.81
N5 0.8279 0.1721 0.7099  1 Tc 1.81
N6 0.8279 0.6558 0.7099  1 Tc 1.81

Output
DFT total energy ... -89.42 eV per cell
Density ... 5.4 g cm⁻³
N(E_F) ... 0.38 states/eV/atom
Formation energy without anion corrections ... -685 meV/atom
Space group ... P-3m1 (164)


No. 2
Computed, not measured: a geometry-optimized BaSb2Pd3 structure at the PBE level of DFT.

a b c (Å): 9.1096 9.1096 7.9297
angles (deg): 114.28 114.28 28.99
With the nearest neighbours (Å) after each atom.
Sites, in units of the cell vectors:
Ba1 0.1513 0.1513 0.0747  7 Pd 3.59-3.81, 7 Sb 3.62-3.74
Ba2 0.8487 0.8487 0.9253  7 Pd 3.59-3.81, 7 Sb 3.62-3.74
Sb1 0.1824 0.1824 0.6516  6 Pd 2.66-2.81
Sb2 0.4751 0.4751 0.7920  4 Pd 2.60-2.73
Sb3 0.5249 0.5249 0.2080  4 Pd 2.60-2.73
Sb4 0.8176 0.8176 0.3484  6 Pd 2.66-2.81
Pd1 0.0304 0.0304 0.3693  3 Sb 2.60-2.66, 1 Pd 2.71
Pd2 0.3097 0.3097 0.5471  4 Sb 2.70-2.81, 3 Pd 2.82-2.98
Pd3 0.4095 0.4095 0.3476  3 Sb 2.70-2.80, 1 Pd 2.82
Pd4 0.5905 0.5905 0.6524  3 Sb 2.70-2.80, 1 Pd 2.82
Pd5 0.6903 0.6903 0.4529  4 Sb 2.70-2.81, 3 Pd 2.82-2.98
Pd6 0.9696 0.9696 0.6307  3 Sb 2.60-2.66, 1 Pd 2.71

Output
DFT total energy ... -59.55 eV per cell
Density ... 8.1 g cm⁻³
N(E_F) ... 0.52 states/eV/atom
Formation energy without anion corrections ... -672 meV/atom
Space group ... C2/m (12)


No. 3
Computed, not measured: a geometry-optimized Rb2Bi2Pd structure at the PBE level of DFT.

a b c (Å): 13.1804 13.1804 13.1804
angles (deg): 156.73 156.73 33.14
With the nearest neighbours (Å) after each atom.
Sites, in units of the cell vectors:
Rb1 0.0591 0.3091 0.7500  2 Pd 3.14
Rb2 0.3091 0.0591 0.2500  2 Pd 3.14
Rb3 0.6909 0.9409 0.7500  2 Pd 3.14
Rb4 0.9409 0.6909 0.2500  2 Pd 3.14
Bi1 0.2059 0.4559 0.7500  2 Pd 3.35, 2 Bi 3.47, 3 Rb 3.71-3.72
Bi2 0.4559 0.2059 0.2500  2 Pd 3.35, 2 Bi 3.47, 3 Rb 3.71-3.72
Bi3 0.5441 0.7941 0.7500  2 Pd 3.35, 2 Bi 3.47, 3 Rb 3.71-3.72
Bi4 0.7941 0.5441 0.2500  2 Pd 3.35, 2 Bi 3.47, 3 Rb 3.71-3.72
Pd1 0.3750 0.6250 0.7500  4 Rb 3.14, 4 Bi 3.35
Pd2 0.6250 0.3750 0.2500  4 Rb 3.14, 4 Bi 3.35

Output
DFT total energy ... -29.09 eV per cell
Density ... 6.5 g cm⁻³
N(E_F) ... 0.86 states/eV/atom
Space group ... I4_1/amd (141)


No. 4
Computed, not measured: a geometry-optimized Ac2La5Pm3 structure at the PBE level of DFT.

a b c (Å): 9.2718 9.2718 10.7248
angles (deg): 108.75 108.75 104.73
With the nearest neighbours (Å) after each atom.
Sites, in units of the cell vectors:
Ac1 0.0289 0.2816 0.0570  3 Pm 3.52-3.64, 4 La 3.57-3.72
Ac2 0.2816 0.0289 0.5570  3 Pm 3.52-3.64, 4 La 3.57-3.72
Ac3 0.7184 0.9711 0.4430  3 Pm 3.52-3.64, 4 La 3.57-3.72
Ac4 0.9711 0.7184 0.9430  3 Pm 3.52-3.64, 4 La 3.57-3.72
La1 0.0246 0.9754 0.7500  1 La 3.11
La2 0.1227 0.3761 0.7493  3 La 3.48-3.60, 1 Pm 3.54
La3 0.2363 0.7637 0.7500  3 La 3.11-3.48, 2 Pm 3.46
La4 0.3761 0.1227 0.2493  3 La 3.48-3.60, 1 Pm 3.54
La5 0.4856 0.5144 0.2500  3 Pm 3.14-3.47, 2 La 3.51
La6 0.5144 0.4856 0.7500  3 Pm 3.14-3.47, 2 La 3.51
La7 0.6239 0.8773 0.7507  3 La 3.48-3.60, 1 Pm 3.54
La8 0.7637 0.2363 0.2500  3 La 3.11-3.48, 2 Pm 3.46
La9 0.8773 0.6239 0.2507  3 La 3.48-3.60, 1 Pm 3.54
La10 0.9754 0.0246 0.2500  1 La 3.11
Pm1 0.2239 0.4740 0.4428  5 La 3.46-3.74, 1 Ac 3.52, 1 Pm 3.63
Pm2 0.2720 0.7280 0.2500  1 La 3.14
Pm3 0.4740 0.2239 0.9428  5 La 3.46-3.74, 1 Ac 3.52, 1 Pm 3.63
Pm4 0.5260 0.7761 0.0572  5 La 3.46-3.74, 1 Ac 3.52, 1 Pm 3.63
Pm5 0.7280 0.2720 0.7500  1 La 3.14
Pm6 0.7761 0.5260 0.5572  5 La 3.46-3.74, 1 Ac 3.52, 1 Pm 3.63

Output
DFT total energy ... -91.08 eV per cell
Density ... 6.9 g cm⁻³
N(E_F) ... 1.80 states/eV/atom
Space group ... C2/c (15)


No. 5
Computed, not measured: a geometry-optimized SmErTh2N4 structure at the PBE level of DFT.

a b c (Å): 6.1918 3.6000 6.2387
angles (deg): 90.00 109.56 90.00
With the nearest neighbours (Å) after each atom.
Sites, in units of the cell vectors:
Sm1 0.0000 0.0000 0.0000  6 N 2.56
Er1 0.0000 0.5000 0.5000  6 N 2.51
Th1 0.5000 0.0000 0.5000  6 N 2.52
Th2 0.5000 0.5000 0.0000  6 N 2.56-2.57
N1 0.2470 0.0000 0.7428  2 Er 2.51, 3 Th 2.52-2.57, 1 Sm 2.56
N2 0.2519 0.5000 0.2569  1 Er 2.51, 3 Th 2.52-2.56, 2 Sm 2.56
N3 0.7481 0.5000 0.7431  1 Er 2.51, 3 Th 2.52-2.56, 2 Sm 2.56
N4 0.7530 0.0000 0.2572  2 Er 2.51, 3 Th 2.52-2.57, 1 Sm 2.56

Output
DFT total energy ... -70.13 eV per cell
Density ... 10.6 g cm⁻³
N(E_F) ... 0.34 states/eV/atom
Formation energy without anion corrections ... -1589 meV/atom
Space group ... P2/m (10)


No. 6
Computed, not measured: a geometry-optimized Pu2ThPb structure at the PBE level of DFT.

a b c (Å): 7.6554 7.6554 7.6554
angles (deg): 90.00 90.00 90.00
With the nearest neighbours (Å) after each atom.
Sites, in units of the cell vectors:
Pu1 0.2500 0.2500 0.2500  4 Th 3.31, 4 Pb 3.31
Pu2 0.2500 0.2500 0.7500  4 Pb 3.31, 4 Th 3.31
Pu3 0.2500 0.7500 0.2500  4 Pb 3.31, 4 Th 3.31
Pu4 0.2500 0.7500 0.7500  4 Th 3.31, 4 Pb 3.31
Pu5 0.7500 0.2500 0.2500  4 Pb 3.31, 4 Th 3.31
Pu6 0.7500 0.2500 0.7500  4 Th 3.31, 4 Pb 3.31
Pu7 0.7500 0.7500 0.2500  4 Th 3.31, 4 Pb 3.31
Pu8 0.7500 0.7500 0.7500  4 Pb 3.31, 4 Th 3.31
Th1 0.0000 0.0000 0.0000  8 Pu 3.31
Th2 0.0000 0.5000 0.5000  8 Pu 3.31
Th3 0.5000 0.0000 0.5000  8 Pu 3.31
Th4 0.5000 0.5000 0.0000  8 Pu 3.31
Pb1 0.0000 0.0000 0.5000  8 Pu 3.31
Pb2 0.0000 0.5000 0.0000  8 Pu 3.31
Pb3 0.5000 0.0000 0.0000  8 Pu 3.31
Pb4 0.5000 0.5000 0.5000  8 Pu 3.31

Output
DFT total energy ... -157.15 eV per cell
Density ... 13.7 g cm⁻³
N(E_F) ... 4.12 states/eV/atom
Energy above the most stable polymorph in this dataset ... 235 meV per atom
Space group ... Fm-3m (225)


No. 7
Computed, not measured: a geometry-optimized NpTi2Co structure at the PBE level of DFT.

a b c (Å): 4.6215 4.6215 2.9318
angles (deg): 90.00 90.00 90.00
With the nearest neighbours (Å) after each atom.
Sites, in units of the cell vectors:
Np1 0.0000 0.0000 0.0000  8 Ti 2.74, 2 Np 2.93
Ti1 0.0000 0.5000 0.5000  4 Co 2.74, 4 Np 2.74, 2 Ti 2.93
Ti2 0.5000 0.0000 0.5000  4 Co 2.74, 4 Np 2.74, 2 Ti 2.93
Co1 0.5000 0.5000 0.0000  8 Ti 2.74, 2 Co 2.93

Output
DFT total energy ... -35.21 eV per cell
Density ... 10.4 g cm⁻³
N(E_F) ... 1.52 states/eV/atom
Energy above the most stable polymorph in this dataset ... 172 meV per atom
Space group ... P4/mmm (123)


No. 8
Computed, not measured: a geometry-optimized PuV2Mo structure at the PBE level of DFT.

a b c (Å): 3.0760 3.0760 7.0025
angles (deg): 90.00 90.00 90.00
With the nearest neighbours (Å) after each atom.
Sites, in units of the cell vectors:
Pu1 0.0000 0.0000 0.0000  8 V 2.96, 4 Pu 3.08
V1 0.5000 0.5000 0.2867  4 Mo 2.64
V2 0.5000 0.5000 0.7133  4 Mo 2.64
Mo1 0.0000 0.0000 0.5000  8 V 2.64

Output
DFT total energy ... -42.73 eV per cell
Density ... 11.1 g cm⁻³
N(E_F) ... 1.46 states/eV/atom
Energy above the most stable polymorph in this dataset ... 0 meV per atom
Space group ... P4/mmm (123)


No. 9
Computed, not measured: a geometry-optimized Pm5PdAu4 structure at the PBE level of DFT.

a b c (Å): 3.6549 3.6549 18.5504
angles (deg): 90.00 90.00 90.00
With the nearest neighbours (Å) after each atom.
Sites, in units of the cell vectors:
Pm1 0.0000 0.0000 0.0000  8 Au 3.20
Pm2 0.0000 0.0000 0.2021  8 Au 3.19-3.20
Pm3 0.0000 0.0000 0.4042  4 Pd 3.14, 4 Au 3.19
Pm4 0.0000 0.0000 0.5958  4 Pd 3.14, 4 Au 3.19
Pm5 0.0000 0.0000 0.7979  8 Au 3.19-3.20
Pd1 0.5000 0.5000 0.5000  8 Pm 3.14
Au1 0.5000 0.5000 0.1013  8 Pm 3.19-3.20
Au2 0.5000 0.5000 0.3037  8 Pm 3.19-3.20
Au3 0.5000 0.5000 0.6963  8 Pm 3.19-3.20
Au4 0.5000 0.5000 0.8987  8 Pm 3.19-3.20

Output
DFT total energy ... -49.83 eV per cell
Density ... 10.9 g cm⁻³
N(E_F) ... 0.86 states/eV/atom
Space group ... P4/mmm (123)


No. 10
Computed, not measured: a geometry-optimized PaReBrO6 structure at the PBE level of DFT.

a b c (Å): 7.8905 7.8905 7.8905
angles (deg): 124.46 118.97 87.12
With the nearest neighbours (Å) after each atom.
Sites, in units of the cell vectors:
Pa1 0.0000 0.0000 0.0000  6 O 2.10-2.23
Pa2 0.5000 0.0000 0.5000  6 O 2.10-2.23
Re1 0.5000 0.0000 0.0000  6 O 1.87-1.95
Re2 0.5000 0.5000 0.5000  6 O 1.87-1.95
Br1 0.2084 0.4584 0.7500  1 O 2.67
Br2 0.7916 0.5416 0.2500  1 O 2.67
O1 0.1939 0.9439 0.2500  2 Pa 2.10
O2 0.2276 0.3282 0.2719  1 Re 1.87
O3 0.2276 0.9557 0.8994  1 Re 1.87
O4 0.4423 0.6923 0.7500  2 Re 1.95
O5 0.4437 0.0443 0.7719  1 Re 1.87
O6 0.4437 0.6718 0.3994  1 Re 1.87
O7 0.5563 0.3282 0.6006  1 Re 1.87
O8 0.5563 0.9557 0.2281  1 Re 1.87
O9 0.5577 0.3077 0.2500  2 Re 1.95
O10 0.7724 0.0443 0.1006  1 Re 1.87
O11 0.7724 0.6718 0.7281  1 Re 1.87
O12 0.8061 0.0561 0.7500  2 Pa 2.10

Output
DFT total energy ... -141.80 eV per cell
Density ... 5.8 g cm⁻³
N(E_F) ... 0.23 states/eV/atom
Formation energy without anion corrections ... -1948 meV/atom
Space group ... Imma (74)


No. 11
Computed, not measured: a geometry-optimized AcPmTm2 structure at the PBE level of DFT.

a b c (Å): 5.2445 5.2445 5.0019
angles (deg): 90.00 90.00 90.00
With the nearest neighbours (Å) after each atom.
Sites, in units of the cell vectors:
Ac1 0.0000 0.0000 0.0000  8 Tm 3.62, 4 Pm 3.71
Pm1 0.5000 0.5000 0.0000  8 Tm 3.62, 4 Ac 3.71
Tm1 0.0000 0.5000 0.5000  4 Ac 3.62, 4 Pm 3.62, 4 Tm 3.71
Tm2 0.5000 0.0000 0.5000  4 Ac 3.62, 4 Pm 3.62, 4 Tm 3.71

Output
DFT total energy ... -17.59 eV per cell
Density ... 8.6 g cm⁻³
N(E_F) ... 1.54 states/eV/atom
Energy above the most stable polymorph in this dataset ... 1 meV per atom
Space group ... P4/mmm (123)


No. 12
Computed, not measured: a geometry-optimized LiTlSn3 structure at the PBE level of DFT.

a b c (Å): 8.8639 5.9739 10.3474
angles (deg): 90.00 99.54 90.00
With the nearest neighbours (Å) after each atom.
Sites, in units of the cell vectors:
Li1 0.0582 0.1682 0.3282  8 Sn 2.99-3.30
Li2 0.0582 0.3318 0.8282  8 Sn 2.99-3.30
Li3 0.9418 0.6682 0.1718  8 Sn 2.99-3.30
Li4 0.9418 0.8318 0.6718  8 Sn 2.99-3.30
Tl1 0.3694 0.6118 0.7677  7 Sn 3.31-3.65, 1 Li 3.37
Tl2 0.3694 0.8882 0.2677  7 Sn 3.31-3.65, 1 Li 3.37
Tl3 0.6306 0.1118 0.7323  7 Sn 3.31-3.65, 1 Li 3.37
Tl4 0.6306 0.3882 0.2323  7 Sn 3.31-3.65, 1 Li 3.37
Sn1 0.1008 0.6770 0.4522  4 Li 3.01-3.30, 4 Sn 3.04-3.20
Sn2 0.1008 0.8230 0.9522  4 Li 3.01-3.30, 4 Sn 3.04-3.20
Sn3 0.2228 0.0833 0.6342  3 Li 2.99-3.30, 4 Sn 3.03-3.24, 1 Tl 3.31
Sn4 0.2228 0.4167 0.1342  3 Li 2.99-3.30, 4 Sn 3.03-3.24, 1 Tl 3.31
Sn5 0.3691 0.1455 0.9402  4 Sn 3.00-3.24, 1 Li 3.02, 1 Tl 3.31
Sn6 0.3691 0.3545 0.4402  4 Sn 3.00-3.24, 1 Li 3.02, 1 Tl 3.31
Sn7 0.6309 0.6455 0.5598  4 Sn 3.00-3.24, 1 Li 3.02, 1 Tl 3.31
Sn8 0.6309 0.8545 0.0598  4 Sn 3.00-3.24, 1 Li 3.02, 1 Tl 3.31
Sn9 0.7772 0.5833 0.8658  3 Li 2.99-3.30, 4 Sn 3.03-3.24, 1 Tl 3.31
Sn10 0.7772 0.9167 0.3658  3 Li 2.99-3.30, 4 Sn 3.03-3.24, 1 Tl 3.31
Sn11 0.8992 0.1770 0.0478  4 Li 3.01-3.30, 4 Sn 3.04-3.20
Sn12 0.8992 0.3230 0.5478  4 Li 3.01-3.30, 4 Sn 3.04-3.20

Output
DFT total energy ... -66.54 eV per cell
Density ... 7.0 g cm⁻³
N(E_F) ... 0.35 states/eV/atom
Energy above the most stable polymorph in this dataset ... 7 meV per atom
Space group ... P2_1/c (14)


Please write out number 7 again, unchanged.
Computed, not measured: a geometry-optimized NpTi2Co structure at the PBE level of DFT.

a b c (Å): 4.6215 4.6215 2.9318
angles (deg): 90.00 90.00 90.00
With the nearest neighbours (Å) after each atom.
Sites, in units of the cell vectors:
Np1 0.0000 0.0000 0.0000  8 Ti 2.74, 2 Np 2.93
Ti1 0.0000 0.5000 0.5000  4 Co 2.74, 4 Np 2.74, 2 Ti 2.93
Ti2 0.5000 0.0000 0.5000  4 Co 2.74, 4 Np 2.74, 2 Ti 2.93
Co1 0.5000 0.5000 0.0000  8 Ti 2.74, 2 Co 2.93

Output
DFT total energy ... -35.21 eV per cell
Density ... 10.4 g cm⁻³
N(E_F) ... 1.52 states/eV/atom
Energy above the most stable polymorph in this dataset ... 172 meV per atom
Space group ... P4/mmm (123)


Question: What is the DFT total energy in the fifth record?
Answer: -70.13 eV per cell


Question: Among the records above, which one has the highest DFT total energy?
Answer: AcPmTm2